Entry from the Alexandria database: a geometry-optimized LiCoClF2 structure (GGA+U).

a = 3.9272 Å, b = 3.9272 Å, c = 5.1415 Å
α = 90.00°, β = 90.00°, γ = 90.00°
Last column: nearest neighbours and their distance in Å.
Atoms (fractional coordinates):
Li (0.0000, 0.0000, 0.0000)  4 Cl 2.78
Co (0.5000, 0.5000, 0.5000)  4 F 1.96
Cl (0.5000, 0.5000, 0.0000)  2 Co 2.57, 4 Li 2.78
F (0.0000, 0.5000, 0.5000)  2 Co 1.96
F (0.5000, 0.0000, 0.5000)  2 Co 1.96

Output
VASP energy: -4.3643 eV per atom
N(E_F): 0.00 states/eV per cell
SG: P4/mmm, No. 123